No. 1
# ScBe2P PBE optimized geometry
# * total moment: 0.00 μB/atom
# * electronic total energy: -4.90 eV/atom
# * crystal system: tetragonal
data_ScBe2P
_chemical_formula_sum 'Sc1 Be2 P1'
_cell_length_a 4.957
_cell_length_b 4.957
_cell_length_c 4.957
_cell_angle_alpha 137.90
_cell_angle_beta 137.90
_cell_angle_gamma 61.06
_space_group_name_H-M_alt 'P 1'
_space_group_IT_number 1
_space_group_name_Hall 'P 1'
loop_
_atom_site_label
_atom_site_type_symbol
_atom_site_fract_x
_atom_site_fract_y
_atom_site_fract_z
P1 P 0.250 0.750 0.500
Be1 Be 0.500 0.500 0.000
Be2 Be 0.000 0.000 0.000
Sc1 Sc 0.750 0.250 0.500

No. 2
# ScBe2P PBE optimized geometry
# * total moment: 0.00 μB/atom
# * electronic total energy: -5.10 eV/atom
# * crystal system: monoclinic
data_ScBe2P
_chemical_formula_sum 'Sc1 Be2 P1'
_cell_length_a 3.588
_cell_length_b 3.528
_cell_length_c 4.443
_cell_angle_alpha 89.90
_cell_angle_beta 90.00
_cell_angle_gamma 90.00
_space_group_name_H-M_alt 'P 1'
_space_group_IT_number 1
_space_group_name_Hall 'P 1'
loop_
_atom_site_label
_atom_site_type_symbol
_atom_site_fract_x
_atom_site_fract_y
_atom_site_fract_z
Be1 Be 0.500 0.251 0.248
Be2 Be 0.000 0.248 0.001
Sc1 Sc 0.500 0.750 0.738
P1 P 0.000 0.251 0.512

No. 3
# BePSe2 PBE optimized geometry
# * total moment: 0.00 μB/atom
# * relative energy among the computed polymorphs: 0.0011 eV/atom
# * crystal system: monoclinic
# * formation energy (no corrections): -0.063 eV per atom
data_BePSe2
_chemical_formula_sum 'Be1 P1 Se2'
_cell_length_a 7.377
_cell_length_b 7.377
_cell_length_c 4.142
_cell_angle_alpha 73.46
_cell_angle_beta 73.46
_cell_angle_gamma 25.50
_space_group_name_H-M_alt 'P 1'
_space_group_IT_number 1
_space_group_name_Hall 'P 1'
loop_
_atom_site_label
_atom_site_type_symbol
_atom_site_fract_x
_atom_site_fract_y
_atom_site_fract_z
Se1 Se 0.744 0.744 0.749
Se2 Se 0.012 0.012 0.028
Be1 Be 0.605 0.605 0.177
P1 P 0.139 0.139 0.546

No. 4
# BePSe2 PBE optimized geometry
# * total moment: 0.00 μB/atom
# * relative energy among the computed polymorphs: 0.1398 eV/atom
# * crystal system: triclinic
# * formation energy (no corrections): 0.076 eV per atom
data_BePSe2
_chemical_formula_sum 'Be1 P1 Se2'
_cell_length_a 7.515
_cell_length_b 7.522
_cell_length_c 7.378
_cell_angle_alpha 154.40
_cell_angle_beta 150.15
_cell_angle_gamma 42.87
_space_group_name_H-M_alt 'P 1'
_space_group_IT_number 1
_space_group_name_Hall 'P 1'
loop_
_atom_site_label
_atom_site_type_symbol
_atom_site_fract_x
_atom_site_fract_y
_atom_site_fract_z
P1 P 0.250 0.750 0.500
Be1 Be 0.750 0.250 0.500
Se1 Se 0.877 0.877 0.004
Se2 Se 0.623 0.623 0.996

No. 5
# BePSe2 PBE optimized geometry
# * total moment: 0.00 μB/atom
# * relative energy among the computed polymorphs: 0.3529 eV/atom
# * crystal system: orthorhombic
# * formation energy (no corrections): 0.289 eV per atom
data_BePSe2
_chemical_formula_sum 'Be1 P1 Se2'
_cell_length_a 4.206
_cell_length_b 4.206
_cell_length_c 6.738
_cell_angle_alpha 90.00
_cell_angle_beta 90.00
_cell_angle_gamma 131.86
_space_group_name_H-M_alt 'P 1'
_space_group_IT_number 1
_space_group_name_Hall 'P 1'
loop_
_atom_site_label
_atom_site_type_symbol
_atom_site_fract_x
_atom_site_fract_y
_atom_site_fract_z
Se1 Se 0.000 0.000 0.480
Se2 Se 0.000 0.000 0.020
P1 P 0.500 0.500 0.750
Be1 Be 0.500 0.500 0.250

No. 6
# BePSe2 PBE optimized geometry
# * total moment: 0.00 μB/atom
# * relative energy among the computed polymorphs: 0.0343 eV/atom
# * crystal system: trigonal
# * formation energy (no corrections): -0.030 eV per atom
data_BePSe2
_chemical_formula_sum 'Be1 P1 Se2'
_cell_length_a 7.560
_cell_length_b 7.560
_cell_length_c 7.560
_cell_angle_alpha 27.09
_cell_angle_beta 27.09
_cell_angle_gamma 27.09
_space_group_name_H-M_alt 'P 1'
_space_group_IT_number 1
_space_group_name_Hall 'P 1'
loop_
_atom_site_label
_atom_site_type_symbol
_atom_site_fract_x
_atom_site_fract_y
_atom_site_fract_z
Be1 Be 0.511 0.511 0.511
Se1 Se 0.024 0.024 0.024
Se2 Se 0.210 0.210 0.210
P1 P 0.755 0.755 0.755